# 1
Below is an optimized crystal structure of La2ScIn, with properties calculated at the GGA-PBEsol level.

Results
Formation enthalpy at 0 K   -247 meV/atom

Cell lengths 4.7751, 4.7751, 9.7202 Å; angles 90.00, 90.00, 90.00 degrees
Closest atoms and distances in Å follow each position.
Space group I-4m2 (No. 119)
Asymmetric unit:
La 0.0000 0.0000 0.0000 (multiplicity 2)  4 Sc 3.38, 4 La 3.41, 4 In 3.41
La 0.0000 0.5000 0.2500 (multiplicity 2)  4 In 3.38, 4 Sc 3.41, 4 La 3.41
Sc 0.0000 0.0000 0.5000 (multiplicity 2)  8 La 3.38-3.41, 4 In 3.41
In 0.0000 0.5000 0.7500 (multiplicity 2)  8 La 3.38-3.41, 4 Sc 3.41

---

# 2
Below is an optimized crystal structure of LaInSe2, with properties calculated at the GGA-PBEsol level.

Cell lengths 4.4081, 4.1108, 11.2093 Å; angles 90.00, 90.00, 90.00 degrees
Closest atoms and distances in Å follow each position.
Space group Amm2 (No. 38)
Asymmetric unit:
La 0.0000 0.0000 0.0000 (multiplicity 2)  7 Se 3.07-3.20, 2 In 3.24
In 0.5000 0.0000 0.7883 (multiplicity 2)  1 Se 2.64
Se 0.0000 0.0000 0.2858 (multiplicity 2)  4 In 3.01, 3 La 3.16-3.20
Se 0.5000 0.0000 0.5528 (multiplicity 2)  1 In 2.64

---

# 3
Below is an optimized crystal structure of La2InSe2, with properties calculated at the GGA-PBEsol level.

Cell lengths 5.7212, 5.7212, 9.2332 Å; angles 90.00, 90.00, 90.00 degrees
Closest atoms and distances in Å follow each position.
Space group I4/mmm (No. 139)
Asymmetric unit:
La 0.0000 0.5000 0.2500 (multiplicity 4)  4 Se 2.94
In 0.0000 0.0000 0.0000 (multiplicity 2)  2 Se 2.99
Se 0.0000 0.0000 0.3243 (multiplicity 4)  4 La 2.94, 1 In 2.99, 1 Se 3.24

---

These records have DOS at the Fermi energy values of 11.9 0.4 10.8 states/eV/cell, in the order they appear.
These records have total energy values of -21.3 -21.6 -27.2 eV per formula unit, in the order they appear.